(1)
# Pr5Dy6Tl PBE-GGA optimized geometry
# * crystal system: orthorhombic
data_Pr5Dy6Tl
_space_group_name_H-M_alt 'I m m m'
_space_group_IT_number 71
_space_group_name_Hall '-I 2 2'
_cell_length_a 5.058
_cell_length_b 10.150
_cell_length_c 15.209
_cell_angle_alpha 90.00
_cell_angle_beta 90.00
_cell_angle_gamma 90.00
loop_
_atom_site_label
_atom_site_type_symbol
_atom_site_fract_x
_atom_site_fract_y
_atom_site_fract_z
Pr1 Pr 0.000 0.000 0.000
Pr2 Pr 0.000 0.000 0.332
Pr3 Pr 0.000 0.500 0.336
Dy1 Dy 0.000 0.245 0.500
Dy2 Dy 0.000 0.255 0.164
Tl1 Tl 0.000 0.500 0.000

---

(2)
# Pr4DyTl4 PBE-GGA optimized geometry
# * crystal system: tetragonal
data_Pr4DyTl4
_space_group_name_H-M_alt 'P 42/n'
_space_group_IT_number 86
_cell_length_a 9.397
_cell_length_b 9.397
_cell_length_c 6.334
_cell_angle_alpha 90.00
_cell_angle_beta 90.00
_cell_angle_gamma 90.00
loop_
_space_group_symop_operation_xyz
'x,y,z'
'-x,-y,-z'
'-y,x+1/2,z+1/2'
'y,-x+1/2,-z+1/2'
'-x+1/2,-y+1/2,z'
'x+1/2,y+1/2,-z'
'y+1/2,-x,z+1/2'
'-y+1/2,x,-z+1/2'
loop_
_atom_site_label
_atom_site_type_symbol
_atom_site_fract_x
_atom_site_fract_y
_atom_site_fract_z
Pr1 Pr 0.079 0.825 0.117
Dy1 Dy 0.250 0.250 0.750
Tl1 Tl 0.048 0.150 0.373

---

| no. | E (eV per cell) | energy relative to the elements (eV per atom) |
| --- | --- | --- |
| 1 | -108.3 | -0.024 |
| 2 | -70.0 | -0.204 |